Entry 1:
{"formula": "TaAg", "functional": "GGA-PBE", "state": "relaxed", "e_form_ev_per_atom": 0.243, "spacegroup": "No. 164", "cell": [[2.887, 0.000, 0.000], [-1.443, 2.500, 0.000], [0.000, 0.000, 10.049]], "species": ["Ta", "Ta", "Ag", "Ag"], "fractional_positions": [[0.000, 0.000, 0.497], [0.333, 0.667, 0.753], [0.000, 0.000, 0.001], [0.333, 0.667, 0.249]]}

***

Entry 2:
{"formula": "Ta3Ag", "functional": "GGA-PBE", "state": "relaxed", "e_form_ev_per_atom": 0.116, "spacegroup": "No. 65", "de_polymorph_ev_per_atom": 0.000, "cell": [[-2.469, 0.260, -1.351], [-0.577, -1.481, 2.337], [-1.699, 7.991, 4.644]], "species": ["Ta", "Ag", "Ta", "Ta"], "fractional_positions": [[0.500, 0.500, 0.255], [0.000, 0.000, 0.000], [0.000, 0.000, 0.500], [0.500, 0.500, 0.745]]}

***

Entry 3:
{"formula": "Ta2Ag", "functional": "GGA-PBE", "state": "relaxed", "e_form_ev_per_atom": 0.394, "spacegroup": "No. 58", "cell": [[-2.635, 0.289, -0.132], [-0.564, -3.876, 2.763], [0.193, 4.980, 7.027]], "species": ["Ta", "Ag", "Ta", "Ag", "Ta", "Ta"], "fractional_positions": [[0.803, 0.000, 0.667], [0.500, 0.500, 0.500], [0.197, 0.000, 0.333], [0.000, 0.000, 0.000], [0.303, 0.500, 0.833], [0.697, 0.500, 0.167]]}

***

Entry 4:
{"formula": "TaAg2", "functional": "GGA-PBE", "state": "relaxed", "e_form_ev_per_atom": 0.251, "spacegroup": "No. 63", "cell": [[-4.917, 4.924, 3.786], [3.458, -6.811, -2.099], [3.234, 0.580, 3.446]], "species": ["Ag", "Ta", "Ta", "Ag", "Ag", "Ag"], "fractional_positions": [[0.108, 0.892, 0.250], [0.226, 0.774, 0.750], [0.774, 0.226, 0.250], [0.558, 0.442, 0.750], [0.892, 0.108, 0.750], [0.442, 0.558, 0.250]]}

***

Entry 5:
{"formula": "Ta2Ag", "functional": "GGA-PBE", "state": "relaxed", "e_form_ev_per_atom": 0.379, "spacegroup": "No. 63", "cell": [[1.483, -7.403, 0.000], [1.483, 7.403, 0.000], [0.000, 0.000, 4.991]], "species": ["Ag", "Ta", "Ta", "Ag", "Ta", "Ta"], "fractional_positions": [[0.095, 0.905, 0.250], [0.577, 0.423, 0.750], [0.762, 0.238, 0.250], [0.905, 0.095, 0.750], [0.423, 0.577, 0.250], [0.238, 0.762, 0.750]]}

***

Entry 6:
{"formula": "TaAg5", "functional": "GGA-PBE", "state": "relaxed", "e_form_ev_per_atom": 0.236, "spacegroup": "No. 38", "cell": [[1.409, -7.780, 0.000], [1.409, 7.780, 0.000], [0.000, 0.000, 4.867]], "species": ["Ag", "Ag", "Ag", "Ag", "Ta", "Ag"], "fractional_positions": [[0.442, 0.558, 0.500], [0.003, 0.997, 0.000], [0.669, 0.331, 0.000], [0.336, 0.664, 0.000], [0.108, 0.892, 0.500], [0.775, 0.225, 0.500]]}

***

Entry 7:
{"formula": "Ta4Ag", "functional": "GGA-PBE", "state": "relaxed", "e_form_ev_per_atom": 0.920, "spacegroup": "No. 139", "de_polymorph_ev_per_atom": 0.725, "cell": [[5.817, -3.677, 2.248], [1.977, -3.171, 6.200], [-5.068, 1.060, -5.060]], "species": ["Ta", "Ta", "Ta", "Ta", "Ag"], "fractional_positions": [[0.402, 0.402, 0.000], [0.598, 0.598, 0.000], [0.250, 0.750, 0.500], [0.750, 0.250, 0.500], [0.000, 0.000, 0.000]]}

***

Entry 8:
{"formula": "TaAg", "functional": "GGA-PBE", "state": "relaxed", "e_form_ev_per_atom": 2.242, "spacegroup": "No. 223", "cell": [[-6.299, 3.700, -0.005], [-3.350, -5.699, 3.110], [1.571, 2.684, 6.610]], "species": ["Ta", "Ag", "Ag", "Ag", "Ta", "Ag", "Ta", "Ta", "Ta", "Ta", "Ag", "Ag"], "fractional_positions": [[0.000, 0.500, 0.250], [0.500, 0.000, 0.750], [0.000, 0.750, 0.500], [0.000, 0.250, 0.500], [0.000, 0.500, 0.750], [0.250, 0.500, 0.000], [0.500, 0.750, 0.000], [0.250, 0.000, 0.500], [0.750, 0.000, 0.500], [0.500, 0.250, 0.000], [0.500, 0.000, 0.250], [0.750, 0.500, 0.000]]}

***

no.,ρ (g/cm³),total energy (eV/f.u.),density of states at the Fermi level (states/eV/f.u.)
1,13.2,-14.2,2.26
2,14.9,-37.9,3.83
3,14.2,-25.4,2.96
4,12.2,-16.8,1.54
5,14.2,-25.4,2.61
6,11.2,-24.7,3.46
7,13.5,-45.7,4.10
8,7.4,-10.2,2.33